PmSiNi3 | PBE-GGA | relaxed

Cell lengths 5.7176, 5.7176, 11.1229 Å; angles 90.00, 90.00, 120.00 degrees
Element x y z (fractional)
Pm (0.3333, 0.6667, 0.2500)
Pm (0.0000, 0.0000, 0.0000)
Pm (0.6667, 0.3333, 0.7500)
Pm (0.0000, 0.0000, 0.5000)
Si (0.3333, 0.6667, 0.6390)
Si (0.3333, 0.6667, 0.8610)
Si (0.6667, 0.3333, 0.3610)
Si (0.6667, 0.3333, 0.1390)
Ni (0.7228, 0.8614, 0.7500)
Ni (0.5000, 0.0000, 0.5000)
Ni (0.8614, 0.1386, 0.2500)
Ni (0.2772, 0.1386, 0.2500)
Ni (0.1386, 0.2772, 0.7500)
Ni (0.5000, 0.5000, 0.5000)
Ni (0.0000, 0.5000, 0.0000)
Ni (0.5000, 0.5000, 0.0000)
Ni (0.5000, 0.0000, 0.0000)
Ni (0.1386, 0.8614, 0.7500)
Ni (0.0000, 0.5000, 0.5000)
Ni (0.8614, 0.7228, 0.2500)

Calculated values
Its formation energy (no corrections) is -0.399 eV/atom. The total moment comes out at 0.00 μB/atom. Its relative energy among the computed polymorphs is 107 meV per atom.